(1)
# RhW2 PBE-GGA relaxed
data_RhW2
_cell_length_a 5.3773
_cell_length_b 5.3773
_cell_length_c 6.7522
_cell_angle_alpha 75.24
_cell_angle_beta 75.24
_cell_angle_gamma 29.61
_symmetry_space_group_name_H-M 'P 1'
_symmetry_Int_Tables_number 1
loop_
_symmetry_equiv_pos_as_xyz
'x,y,z'
loop_
_atom_site_label
_atom_site_type_symbol
_atom_site_fract_x
_atom_site_fract_y
_atom_site_fract_z
W1 W 0.2852 0.2852 0.9553
W2 W 0.6685 0.6685 0.6640
W3 W 0.9405 0.9405 0.6115
W4 W 0.6046 0.6046 0.2721
Rh1 Rh 0.0041 0.0041 0.9966
Rh2 Rh 0.3305 0.3305 0.3338
# * E above lowest polymorph: 87.3 meV per atom
# * crystal system: monoclinic
# * energy of formation from the pure elements: 0.047 eV/atom
# * SG: No. 8

=====

(2)
# RhW PBE-GGA relaxed
data_RhW
_cell_length_a 8.2686
_cell_length_b 8.2686
_cell_length_c 3.7992
_cell_angle_alpha 90.00
_cell_angle_beta 90.00
_cell_angle_gamma 90.00
_symmetry_space_group_name_H-M 'P 1'
_symmetry_Int_Tables_number 1
loop_
_symmetry_equiv_pos_as_xyz
'x,y,z'
loop_
_atom_site_label
_atom_site_type_symbol
_atom_site_fract_x
_atom_site_fract_y
_atom_site_fract_z
W1 W 0.0000 0.3253 0.0000
W2 W 0.5000 0.1747 0.5000
W3 W 0.5000 0.8253 0.5000
W4 W 0.8253 0.5000 0.5000
W5 W 0.1747 0.5000 0.5000
W6 W 0.0000 0.6747 0.0000
W7 W 0.6747 0.0000 0.0000
W8 W 0.3253 0.0000 0.0000
Rh1 Rh 0.6652 0.6652 0.0000
Rh2 Rh 0.1652 0.8348 0.5000
Rh3 Rh 0.8348 0.8348 0.5000
Rh4 Rh 0.8348 0.1652 0.5000
Rh5 Rh 0.6652 0.3348 0.0000
Rh6 Rh 0.1652 0.1652 0.5000
Rh7 Rh 0.3348 0.6652 0.0000
Rh8 Rh 0.3348 0.3348 0.0000
# * crystal system: tetragonal
# * energy of formation from the pure elements: 0.256 eV/atom
# * SG: No. 139